## K4Pr3CdO8 (GGA-PBE)

Data for crystalline K4Pr3CdO8 at its relaxed geometry.

Properties
Crystal system: monoclinic
DFT total energy, eV/atom: -5.842
Raw formation energy, kJ per mole of atoms: -206.0
Space group: C2/m, No. 12

Lattice parameters (Å, degrees): 7.2623 7.2623 7.5844 118.56 118.56 59.92
Last column: nearest neighbours and their distance in Å.
Sites, in units of the cell vectors:
K 0.0000 0.0000 0.0000  6 O 2.81-2.82
K 0.0000 0.5000 0.0000  6 O 2.84-2.86
K 0.5000 0.0000 0.0000  6 O 2.84-2.86
K 0.5000 0.5000 0.0000  6 O 2.84-2.86
Pr 0.0000 0.0000 0.5000  6 O 2.43
Pr 0.0000 0.5000 0.5000  6 O 2.42-2.44
Pr 0.5000 0.0000 0.5000  6 O 2.42-2.44
Cd 0.5000 0.5000 0.5000  6 O 2.45-2.48
O 0.2299 0.7339 0.6980  2 Pr 2.43-2.44, 1 Cd 2.45
O 0.2307 0.2307 0.6927  3 Pr 2.42-2.43
O 0.2642 0.2642 0.3006  2 Pr 2.43, 1 Cd 2.48
O 0.2661 0.7701 0.3020  2 Pr 2.43-2.44, 1 Cd 2.45
O 0.7339 0.2299 0.6980  2 Pr 2.43-2.44, 1 Cd 2.45
O 0.7358 0.7358 0.6994  2 Pr 2.43, 1 Cd 2.48
O 0.7693 0.7693 0.3073  3 Pr 2.42-2.43
O 0.7701 0.2661 0.3020  2 Pr 2.43-2.44, 1 Cd 2.45

---

## CuPCl2 (GGA-PBE)

Data for crystalline CuPCl2 at its relaxed geometry.

Properties
Crystal system: orthorhombic
DFT total energy, eV/atom: -2.946
Raw formation energy, kJ per mole of atoms: 34.1
Offset from the most stable computed form, eV/atom: 0.700
Space group: Pmmm, No. 47

Lattice parameters (Å, degrees): 3.1689 3.8529 6.7295 90.00 90.00 90.00
Last column: nearest neighbours and their distance in Å.
Sites, in units of the cell vectors:
Cu 0.0000 0.0000 0.0000  4 Cl 2.49
P 0.5000 0.0000 0.5000  4 Cl 2.49
Cl 0.0000 0.5000 0.5000  4 P 2.49
Cl 0.5000 0.5000 0.0000  4 Cu 2.49

---

## PuCd2Ag (GGA-PBE)

Data for crystalline PuCd2Ag at its relaxed geometry.

Properties
Crystal system: tetragonal
DFT total energy, eV/atom: -4.813
Formation energy, kJ/mol of formula units: -23.2
Space group: P4/mmm, No. 123

Lattice parameters (Å, degrees): 3.1105 3.1105 9.0863 90.00 90.00 90.00
Last column: nearest neighbours and their distance in Å.
Sites, in units of the cell vectors:
Pu 0.0000 0.0000 0.0000  4 Pu 3.11, 8 Cd 3.35
Cd 0.5000 0.5000 0.2775  4 Ag 2.99, 4 Cd 3.11, 4 Pu 3.35
Cd 0.5000 0.5000 0.7225  4 Ag 2.99, 4 Cd 3.11, 4 Pu 3.35
Ag 0.0000 0.0000 0.5000  8 Cd 2.99, 4 Ag 3.11

---

## MgTe2MoN (GGA-PBE)

Data for crystalline MgTe2MoN at its relaxed geometry.

Properties
Crystal system: tetragonal
DFT total energy, eV/atom: -4.871
Raw formation energy, kJ per mole of atoms: 51.7
Offset from the most stable computed form, eV/atom: 0.474
Space group: P4/mmm, No. 123

Lattice parameters (Å, degrees): 4.9048 4.9048 3.8592 90.00 90.00 90.00
Last column: nearest neighbours and their distance in Å.
Sites, in units of the cell vectors:
Mg 0.0000 0.0000 0.0000  2 N 1.93
Te 0.0000 0.5000 0.5000  2 N 2.45
Te 0.5000 0.0000 0.5000  2 N 2.45
Mo 0.5000 0.5000 0.0000  8 Te 3.12, 4 Mg 3.47
N 0.0000 0.0000 0.5000  2 Mg 1.93

---

## Tb4Ni2Pd (GGA-PBE)

Data for crystalline Tb4Ni2Pd at its relaxed geometry.

Properties
Crystal system: triclinic
DFT total energy, eV/atom: -5.478
Formation energy, kJ/mol of formula units: -296.0
Space group: P1, No. 1

Lattice parameters (Å, degrees): 7.3085 7.3369 7.6423 109.63 110.04 106.44
Last column: nearest neighbours and their distance in Å.
Sites, in units of the cell vectors:
Tb 0.0000 0.0000 0.0000  2 Ni 2.74-2.84, 2 Pd 2.84-3.05
Tb 0.0291 0.5057 0.9742  4 Ni 2.72-2.99, 1 Pd 2.85
Tb 0.1265 0.2288 0.5584  2 Ni 2.74-2.79, 1 Pd 2.83
Tb 0.3977 0.6737 0.5191  4 Ni 2.73-2.98, 1 Pd 2.86
Tb 0.4900 0.1290 0.3830  3 Ni 2.72-3.01, 1 Pd 2.81
Tb 0.5447 0.1899 0.9297  3 Ni 2.76-3.08, 1 Pd 2.82
Tb 0.6160 0.7197 0.1003  3 Ni 2.72-3.01, 1 Pd 2.84
Tb 0.8659 0.6223 0.4961  2 Ni 2.74-2.85, 1 Pd 2.86
Ni 0.0912 0.8313 0.3265  6 Tb 2.72-3.01
Ni 0.3781 0.3874 0.1665  6 Tb 2.73-3.01
Ni 0.6240 0.4964 0.7405  4 Tb 2.72-2.85
Ni 0.9672 0.3466 0.2473  6 Tb 2.74-2.81
Pd 0.2704 0.7902 0.8695  6 Tb 2.82-3.06
Pd 0.7858 0.0234 0.6265  6 Tb 2.81-3.10

---

## BeAgMo2 (GGA-PBE)

Data for crystalline BeAgMo2 at its relaxed geometry.

Properties
Crystal system: monoclinic
DFT total energy, eV/atom: -6.710
Formation energy, kJ/mol of formula units: 135.0
Space group: P2/m, No. 10

Lattice parameters (Å, degrees): 2.7051 4.2230 5.1925 90.00 95.61 90.00
Last column: nearest neighbours and their distance in Å.
Sites, in units of the cell vectors:
Be 0.0000 0.0000 0.0000  2 Ag 2.60, 8 Mo 2.67-2.89, 2 Be 2.71
Ag 0.0000 0.0000 0.5000  2 Be 2.60, 2 Ag 2.71, 8 Mo 2.86-2.89
Mo 0.4606 0.5000 0.2286  1 Mo 2.40, 2 Be 2.67
Mo 0.5394 0.5000 0.7714  1 Mo 2.40, 2 Be 2.67